VASP calculation (PBE-GGA) on a geometry-optimized LiZn5Cu3 structure.

```
data_LiZn5Cu3
_chemical_formula_sum 'Li2 Zn10 Cu6'
_cell_length_a 7.4528
_cell_length_b 7.4528
_cell_length_c 5.1074
_cell_angle_alpha 90.00
_cell_angle_beta 90.00
_cell_angle_gamma 120.00
_space_group_name_H-M_alt 'P 63/m c m'
_space_group_IT_number 193
_space_group_name_Hall '-P 6c 2'
loop_
_atom_site_label
_atom_site_type_symbol
_atom_site_fract_x
_atom_site_fract_y
_atom_site_fract_z
Li1 Li 0.0000 0.0000 0.0000
Zn1 Zn 0.0000 0.3169 0.2500
Zn2 Zn 0.3333 0.6667 0.0000
Cu1 Cu 0.0000 0.3486 0.7500
```

Results
Calculated formation energy, eV/atom: -0.073
Total energy, eV/atom: -2.3590
Spin magnetization, μB per formula unit: 0.00
N(E_F), states/eV/atom: 0.19

***

VASP calculation (PBE-GGA) on a geometry-optimized NdSi2 structure.

```
data_NdSi2
_chemical_formula_sum 'Nd2 Si4'
_cell_length_a 5.878
_cell_length_b 6.069
_cell_length_c 4.100
_cell_angle_alpha 90.00
_cell_angle_beta 110.95
_cell_angle_gamma 90.00
_space_group_name_H-M_alt 'C 1 2/m 1'
_space_group_IT_number 12
loop_
_space_group_symop_operation_xyz
'x,y,z'
'-x,-y,-z'
'-x,y,-z'
'x,-y,z'
'x+1/2,y+1/2,z'
'-x+1/2,-y+1/2,-z'
'-x+1/2,y+1/2,-z'
'x+1/2,-y+1/2,z'
loop_
_atom_site_label
_atom_site_type_symbol
_atom_site_fract_x
_atom_site_fract_y
_atom_site_fract_z
Nd1 Nd 0.000 0.000 0.000
Si1 Si 0.104 0.500 0.297
```

Results
ΔE_f (raw), eV per atom: -0.363
Total energy, eV/atom: -5.5674
Spin magnetization, μB per formula unit: 0.00
N(E_F), states/eV/atom: 0.39

***

VASP calculation (PBE-GGA) on a geometry-optimized LaErMg4 structure.

```
data_LaErMg4
_chemical_formula_sum 'La4 Er4 Mg16'
_cell_length_a 8.633
_cell_length_b 8.633
_cell_length_c 8.633
_cell_angle_alpha 90.00
_cell_angle_beta 90.00
_cell_angle_gamma 90.00
_space_group_name_H-M_alt 'F -4 3 m'
_space_group_IT_number 216
_space_group_name_Hall 'F -4 2 3'
loop_
_atom_site_label
_atom_site_type_symbol
_atom_site_fract_x
_atom_site_fract_y
_atom_site_fract_z
La1 La 0.000 0.000 0.000
Er1 Er 0.250 0.250 0.750
Mg1 Mg 0.125 0.125 0.375
```

Results
Calculated formation energy, eV/atom: -0.090
Total energy, eV/atom: -2.7345
Spin magnetization, μB per formula unit: 0.00
N(E_F), states/eV/atom: 0.89

***

VASP calculation (PBE-GGA) on a geometry-optimized CeAl4Ge2Au structure.

```
data_CeAl4Ge2Au
_chemical_formula_sum 'Ce3 Al12 Ge6 Au3'
_cell_length_a 4.2574
_cell_length_b 4.2574
_cell_length_c 31.4832
_cell_angle_alpha 90.00
_cell_angle_beta 90.00
_cell_angle_gamma 120.00
_space_group_name_H-M_alt 'R -3 m'
_space_group_IT_number 166
_space_group_name_Hall '-R 3 2"'
loop_
_atom_site_label
_atom_site_type_symbol
_atom_site_fract_x
_atom_site_fract_y
_atom_site_fract_z
Ce1 Ce 0.0000 0.0000 0.0000
Al1 Al 0.0000 0.0000 0.1928
Al2 Al 0.0000 0.0000 0.4165
Ge1 Ge 0.0000 0.0000 0.2761
Au1 Au 0.0000 0.0000 0.5000
```

Results
Calculated formation energy, eV/atom: -0.424
Total energy, eV/atom: -4.6006
Spin magnetization, μB per formula unit: 1.04
N(E_F), states/eV/atom: 0.89

***

VASP calculation (PBE-GGA) on a geometry-optimized LiEuGdHo structure.

```
data_LiEuGdHo
_chemical_formula_sum 'Li4 Eu4 Gd4 Ho4'
_cell_length_a 7.960
_cell_length_b 7.960
_cell_length_c 7.960
_cell_angle_alpha 90.00
_cell_angle_beta 90.00
_cell_angle_gamma 90.00
_space_group_name_H-M_alt 'F -4 3 m'
_space_group_IT_number 216
_space_group_name_Hall 'F -4 2 3'
loop_
_atom_site_label
_atom_site_type_symbol
_atom_site_fract_x
_atom_site_fract_y
_atom_site_fract_z
Li1 Li 0.000 0.000 0.000
Eu1 Eu 0.250 0.250 0.750
Gd1 Gd 0.250 0.250 0.250
Ho1 Ho 0.000 0.000 0.500
```

Results
Calculated formation energy, eV/atom: 0.203
Total energy, eV/atom: -7.5085
Spin magnetization, μB per formula unit: 0.26
N(E_F), states/eV/atom: 1.28

***

VASP calculation (PBE-GGA) on a geometry-optimized YTi2AlC structure.

```
data_YTi2AlC
_chemical_formula_sum 'Y1 Ti2 Al1 C1'
_cell_length_a 4.280
_cell_length_b 4.280
_cell_length_c 4.740
_cell_angle_alpha 90.00
_cell_angle_beta 90.00
_cell_angle_gamma 90.00
_space_group_name_H-M_alt 'P 4/m m m'
_space_group_IT_number 123
_space_group_name_Hall '-P 4 2'
loop_
_atom_site_label
_atom_site_type_symbol
_atom_site_fract_x
_atom_site_fract_y
_atom_site_fract_z
Y1 Y 0.000 0.000 0.000
Ti1 Ti 0.000 0.500 0.500
Al1 Al 0.500 0.500 0.000
C1 C 0.000 0.000 0.500
```

Results
Calculated formation energy, eV/atom: -0.396
Total energy, eV/atom: -7.4397
Spin magnetization, μB per formula unit: 0.00
N(E_F), states/eV/atom: 0.70

***

VASP calculation (PBE-GGA) on a geometry-optimized Li4Pa3AlN8 structure.

```
data_Li4Pa3AlN8
_chemical_formula_sum 'Li8 Pa6 Al2 N16'
_cell_length_a 11.442
_cell_length_b 6.539
_cell_length_c 6.248
_cell_angle_alpha 90.00
_cell_angle_beta 118.36
_cell_angle_gamma 90.00
_space_group_name_H-M_alt 'C 1 2/m 1'
_space_group_IT_number 12
loop_
_space_group_symop_operation_xyz
'x,y,z'
'-x,-y,-z'
'-x,y,-z'
'x,-y,z'
'x+1/2,y+1/2,z'
'-x+1/2,-y+1/2,-z'
'-x+1/2,y+1/2,-z'
'x+1/2,-y+1/2,z'
loop_
_atom_site_label
_atom_site_type_symbol
_atom_site_fract_x
_atom_site_fract_y
_atom_site_fract_z
Li1 Li 0.000 0.000 0.000
Li2 Li 0.000 0.500 0.000
Li3 Li 0.250 0.250 0.500
Pa1 Pa 0.000 0.000 0.500
Pa2 Pa 0.250 0.250 0.000
Al1 Al 0.000 0.500 0.500
N1 N 0.019 0.269 0.735
N2 N 0.232 0.000 0.742
N3 N 0.236 0.000 0.224
```

Results
ΔE_f (raw), eV per atom: -0.923
Total energy, eV/atom: -7.5790
Spin magnetization, μB per formula unit: 0.00
N(E_F), states/eV/atom: 0.58

***

VASP calculation (PBE-GGA) on a geometry-optimized ScZnGa2Cu4 structure.

```
data_ScZnGa2Cu4
_chemical_formula_sum 'Sc3 Zn3 Ga6 Cu12'
_cell_length_a 4.2150
_cell_length_b 4.2150
_cell_length_c 22.6938
_cell_angle_alpha 90.00
_cell_angle_beta 90.00
_cell_angle_gamma 120.00
_space_group_name_H-M_alt 'R -3 m'
_space_group_IT_number 166
_space_group_name_Hall '-R 3 2"'
loop_
_atom_site_label
_atom_site_type_symbol
_atom_site_fract_x
_atom_site_fract_y
_atom_site_fract_z
Sc1 Sc 0.0000 0.0000 0.0000
Zn1 Zn 0.0000 0.0000 0.5000
Ga1 Ga 0.0000 0.0000 0.2539
Cu1 Cu 0.0000 0.0000 0.1283
Cu2 Cu 0.0000 0.0000 0.3924
```

Results
Calculated formation energy, eV/atom: -0.196
Total energy, eV/atom: -3.9512
Spin magnetization, μB per formula unit: 0.00
N(E_F), states/eV/atom: 0.48

***

What did the third record say?
VASP calculation (PBE-GGA) on a geometry-optimized LaErMg4 structure.

```
data_LaErMg4
_chemical_formula_sum 'La4 Er4 Mg16'
_cell_length_a 8.633
_cell_length_b 8.633
_cell_length_c 8.633
_cell_angle_alpha 90.00
_cell_angle_beta 90.00
_cell_angle_gamma 90.00
_space_group_name_H-M_alt 'F -4 3 m'
_space_group_IT_number 216
_space_group_name_Hall 'F -4 2 3'
loop_
_atom_site_label
_atom_site_type_symbol
_atom_site_fract_x
_atom_site_fract_y
_atom_site_fract_z
La1 La 0.000 0.000 0.000
Er1 Er 0.250 0.250 0.750
Mg1 Mg 0.125 0.125 0.375
```

Results
Calculated formation energy, eV/atom: -0.090
Total energy, eV/atom: -2.7345
Spin magnetization, μB per formula unit: 0.00
N(E_F), states/eV/atom: 0.89